No. 1
Entry from the Alexandria database: an optimized crystal structure of ThZr3Sc7 (PBE).

Calculated values
The volume is 25.76 A^3/atom. Its formation energy from the elements is 230 meV per atom.

Cell and atoms, written as CIF:
```
data_ThZr3Sc7
_chemical_formula_sum 'Th1 Zr3 Sc7'
_cell_length_a 6.4652
_cell_length_b 6.4652
_cell_length_c 7.8291
_cell_angle_alpha 90.00
_cell_angle_beta 90.00
_cell_angle_gamma 120.00
_space_group_name_H-M_alt 'P 3 m 1'
_space_group_IT_number 156
loop_
_space_group_symop_operation_xyz
'x,y,z'
'-y,x-y,z'
'-x+y,-x,z'
'-y,-x,z'
'-x+y,y,z'
'x,x-y,z'
loop_
_atom_site_label
_atom_site_type_symbol
_atom_site_fract_x
_atom_site_fract_y
_atom_site_fract_z
_atom_site_occupancy
Th1 Th 0.0000 0.0000 0.0000 1
Zr1 Zr 0.3330 0.1665 0.6570 1
Sc1 Sc 0.1654 0.3309 0.3344 1
Sc2 Sc 0.5006 0.0011 0.9831 1
Sc3 Sc 0.6667 0.3333 0.3274 1
```


No. 2
Entry from the Alexandria database: an optimized crystal structure of ThZr2Sc (PBE).

Calculated values
The volume is 25.27 A^3/atom. Its polymorph energy (0 for the lowest one) is 0.000 eV/atom. Its formation energy from the elements is 38 meV per atom.

Cell and atoms, written as CIF:
```
data_ThZr2Sc
_chemical_formula_sum 'Th1 Zr2 Sc1'
_cell_length_a 4.6810
_cell_length_b 4.6810
_cell_length_c 4.6126
_cell_angle_alpha 90.00
_cell_angle_beta 90.00
_cell_angle_gamma 90.00
_space_group_name_H-M_alt 'P 4/m m m'
_space_group_IT_number 123
_space_group_name_Hall '-P 4 2'
loop_
_atom_site_label
_atom_site_type_symbol
_atom_site_fract_x
_atom_site_fract_y
_atom_site_fract_z
_atom_site_occupancy
Th1 Th 0.0000 0.0000 0.0000 1
Zr1 Zr 0.0000 0.5000 0.5000 1
Sc1 Sc 0.5000 0.5000 0.0000 1
```


No. 3
Entry from the Alexandria database: an optimized crystal structure of ThZr2Sc (PBE).

Calculated values
The volume is 25.30 A^3/atom. Its polymorph energy (0 for the lowest one) is 0.071 eV/atom. Its formation energy from the elements is 109 meV per atom.

Cell and atoms, written as CIF:
```
data_ThZr2Sc
_chemical_formula_sum 'Th1 Zr2 Sc1'
_cell_length_a 3.8710
_cell_length_b 3.8710
_cell_length_c 6.7542
_cell_angle_alpha 90.00
_cell_angle_beta 90.00
_cell_angle_gamma 90.00
_space_group_name_H-M_alt 'P 4/m m m'
_space_group_IT_number 123
_space_group_name_Hall '-P 4 2'
loop_
_atom_site_label
_atom_site_type_symbol
_atom_site_fract_x
_atom_site_fract_y
_atom_site_fract_z
_atom_site_occupancy
Th1 Th 0.0000 0.0000 0.0000 1
Zr1 Zr 0.5000 0.5000 0.2526 1
Sc1 Sc 0.0000 0.0000 0.5000 1
```


Question: formation energy from the elements of number 1 (ThZr3Sc7)?
Answer: 230 meV per atom


Question: formation energy from the elements of number 1 (ThZr3Sc7)?
Answer: 230 meV per atom


Question: The lowest formation energy from the elements belongs to which entry?
Answer: number 2